# 1
## Rh (GGA-PBE)

Data for a geometry-optimized Rh structure.

As for the polymorph energy (0 for the lowest one): 200.2 meV per atom. The calculation puts the density of states at the Fermi level at 1.44 states/eV/f.u. The value obtained for the magnetic moment is 0.00 μB per cell. As for the total energy: -7.151 eV per atom. For the formation energy, the calculation gives 0.20 eV per atom.

The structure belongs to space group I4/m (No. 87); the cell edges are 6.6447, 6.6447 and 2.7151 Å and the angles 90.00°, 90.00° and 90.00°. Symmetry generates all atoms from Rh at (0.0777, 0.7359, 0.0000).



# 2
## TbEu2Ga (GGA-PBE)

Data for a geometry-optimized TbEu2Ga structure.

As for the polymorph energy (0 for the lowest one): 0.0 meV per atom. The calculation puts the density of states at the Fermi level at 4.02 states/eV/f.u. The value obtained for the magnetic moment is 14.92 μB per cell. As for the total energy: -7.208 eV per atom. For the formation energy, the calculation gives -0.16 eV per atom.

The structure belongs to space group P4/mmm (No. 123); the cell edges are 3.7256, 3.7256 and 9.0388 Å and the angles 90.00°, 90.00° and 90.00°. Symmetry generates all atoms from Tb at (0.0000, 0.0000, 0.0000), Eu at (0.5000, 0.5000, 0.2967) and Ga at (0.0000, 0.0000, 0.5000).